# 1
# FeRu3 PBE optimized geometry
data_FeRu3
_chemical_formula_sum 'Fe1 Ru3'
_symmetry_space_group_name_H-M 'P -6 m 2'
_symmetry_Int_Tables_number 187
_symmetry_space_group_name_Hall 'P -6 2'
_cell_length_a 2.6961
_cell_length_b 2.6961
_cell_length_c 8.3414
_cell_angle_alpha 90.00
_cell_angle_beta 90.00
_cell_angle_gamma 120.00
loop_
_atom_site_label
_atom_site_fract_x
_atom_site_fract_y
_atom_site_fract_z
_atom_site_occupancy
Fe1 0.0000 0.0000 0.0000 1
Ru1 0.0000 0.0000 0.5000 1
Ru2 0.3333 0.6667 0.2396 1
# M_tot = 0.00 μB/atom
# DOS at the Fermi energy = 4.030 states/eV/f.u.
# total energy = -8.988 eV/atom
# energy of formation from the pure elements = 0.0843 eV/atom

---

# 2
# ErTmSi PBE optimized geometry
data_ErTmSi
_chemical_formula_sum 'Er4 Tm4 Si4'
_symmetry_space_group_name_H-M 'F -4 3 m'
_symmetry_Int_Tables_number 216
_symmetry_space_group_name_Hall 'F -4 2 3'
_cell_length_a 6.7572
_cell_length_b 6.7572
_cell_length_c 6.7572
_cell_angle_alpha 90.00
_cell_angle_beta 90.00
_cell_angle_gamma 90.00
loop_
_atom_site_label
_atom_site_fract_x
_atom_site_fract_y
_atom_site_fract_z
_atom_site_occupancy
Er1 0.0000 0.0000 0.0000 1
Tm1 0.0000 0.0000 0.5000 1
Si1 0.2500 0.2500 0.2500 1
# M_tot = 0.00 μB/atom
# distance to the lowest polymorph of the same formula = 102.5 meV/atom
# DOS at the Fermi energy = 2.811 states/eV/f.u.
# total energy = -5.272 eV/atom
# formation energy from raw total energies = -1.358 eV/f.u.

---

# 3
# Cs3Tb2YS6 PBE optimized geometry
data_Cs3Tb2YS6
_chemical_formula_sum 'Cs6 Tb4 Y2 S12'
_symmetry_space_group_name_H-M 'C 1 2/m 1'
_symmetry_Int_Tables_number 12
_symmetry_space_group_name_Hall '-C 2y'
_cell_length_a 7.1374
_cell_length_b 12.3618
_cell_length_c 8.4131
_cell_angle_alpha 90.00
_cell_angle_beta 106.43
_cell_angle_gamma 90.00
loop_
_atom_site_label
_atom_site_fract_x
_atom_site_fract_y
_atom_site_fract_z
_atom_site_occupancy
Cs1 0.0000 0.0000 0.0000 1
Cs2 0.0000 0.3333 0.0000 1
Tb1 0.0000 0.1667 0.5000 1
Y1 0.0000 0.5000 0.5000 1
S1 0.2270 0.3337 0.6820 1
S2 0.2280 0.0000 0.6821 1
# M_tot = 0.00 μB/atom
# DOS at the Fermi energy = 0.000 states/eV/f.u.
# total energy = -5.423 eV/atom
# formation energy from raw total energies = -22.024 eV/f.u.